Computed, not measured: an optimized crystal structure of TbNdHo2Te6 at the PBE-GGA level of DFT.

Lattice parameters (Å, degrees): 7.7584 7.7584 21.1405 90.00 90.00 120.00
Space group R3 (No. 146, hexagonal axes)
Asymmetric unit:
1 Tb 0.0000 0.0000 0.0000 [3 per cell]
2 Nd 0.0000 0.0000 0.5026 [3 per cell]
3 Ho 0.0000 0.0000 0.3145 [3 per cell]
4 Ho 0.0000 0.0000 0.8127 [3 per cell]
5 Te 0.0070 0.3188 0.4042 [9 per cell]
6 Te 0.0167 0.6499 0.5719 [9 per cell]

Results
**Formation energy (no corrections)**: -1.3626 eV/atom
**Total moment**: 0.00 μB per cell

Computed, not measured: an optimized crystal structure of Tb3NdHo3Te8 at the PBE-GGA level of DFT.

Lattice parameters (Å, degrees): 8.6910 8.6910 21.2691 90.00 90.00 120.00
Space group R-3m (No. 166, hexagonal axes)
Asymmetric unit:
1 Tb 0.0000 0.5000 0.0000 [9 per cell]
2 Nd 0.0000 0.0000 0.5000 [3 per cell]
3 Ho 0.0000 0.5000 0.5000 [9 per cell]
4 Te 0.0000 0.0000 0.2490 [6 per cell]
5 Te 0.0165 0.5083 0.7469 [18 per cell]

Results
**Formation energy (no corrections)**: -1.3708 eV/atom
**Total moment**: 0.00 μB per cell

Computed, not measured: an optimized crystal structure of Tb2NdHoTe6 at the PBE-GGA level of DFT.

Lattice parameters (Å, degrees): 7.7718 7.7718 21.2127 90.00 90.00 120.00
Space group R3 (No. 146, hexagonal axes)
Asymmetric unit:
1 Tb 0.0000 0.0000 0.0000 [3 per cell]
2 Tb 0.0000 0.0000 0.4979 [3 per cell]
3 Nd 0.0000 0.0000 0.1880 [3 per cell]
4 Ho 0.0000 0.0000 0.6852 [3 per cell]
5 Te 0.9997 0.3163 0.0908 [9 per cell]
6 Te 0.0111 0.6982 0.5924 [9 per cell]

Results
**Formation energy (no corrections)**: -1.3667 eV/atom
**Total moment**: 0.00 μB per cell

Computed, not measured: an optimized crystal structure of TbNd4Ho3Te8 at the PBE-GGA level of DFT.

Lattice parameters (Å, degrees): 8.7408 8.7408 22.1866 90.00 90.00 120.00
Space group R-3m (No. 166, hexagonal axes)
Asymmetric unit:
1 Tb 0.0000 0.0000 0.0000 [3 per cell]
2 Nd 0.0000 0.0000 0.5000 [3 per cell]
3 Nd 0.0000 0.5000 0.5000 [9 per cell]
4 Ho 0.0000 0.5000 0.0000 [9 per cell]
5 Te 0.0000 0.0000 0.2548 [6 per cell]
6 Te 0.0016 0.5008 0.2544 [18 per cell]

Results
**Formation energy (no corrections)**: -1.3442 eV/atom
**Total moment**: 0.00 μB per cell

Computed, not measured: an optimized crystal structure of TbNd6Ho2Th at the PBE-GGA level of DFT.

Lattice parameters (Å, degrees): 9.3842 15.0680 9.7551 90.00 97.86 90.00
Space group C2/c (No. 15)
Asymmetric unit:
1 Tb 0.0000 0.0923 0.2500 [4 per cell]
2 Nd 0.0656 0.3254 0.4421 [8 per cell]
3 Nd 0.0943 0.1075 0.6187 [8 per cell]
4 Nd 0.2077 0.2820 0.8127 [8 per cell]
5 Ho 0.2447 0.4548 0.0509 [8 per cell]
6 Th 0.0000 0.4702 0.7500 [4 per cell]

Results
**Total moment**: 0.00 μB per cell
**DFT formation energy**: 0.143 eV/atom

Computed, not measured: an optimized crystal structure of TbNd2Ho5Th at the PBE-GGA level of DFT.

Lattice parameters (Å, degrees): 5.6192 10.7022 10.3845 90.00 105.67 90.00
Space group P2_1 (No. 4)
Asymmetric unit:
1 Tb 0.1997 0.0000 0.4003 [2 per cell]
2 Nd 0.1151 0.3097 0.2301 [2 per cell]
3 Nd 0.1151 0.7232 0.2306 [2 per cell]
4 Ho 0.0157 0.0165 0.0314 [2 per cell]
5 Ho 0.2801 0.3041 0.5596 [2 per cell]
6 Ho 0.2999 0.6990 0.5998 [2 per cell]
7 Ho 0.3924 0.0129 0.7845 [2 per cell]
8 Ho 0.4782 0.7270 0.9565 [2 per cell]
9 Th 0.4164 0.4442 0.8327 [2 per cell]

Results
**Total moment**: 0.00 μB per cell
**DFT formation energy**: 0.169 eV/atom

Computed, not measured: an optimized crystal structure of Tb3NdHo6Th2 at the PBE-GGA level of DFT.

Lattice parameters (Å, degrees): 6.1787 10.6940 11.7162 90.00 100.14 90.00
Space group C2/m (No. 12)
Asymmetric unit:
1 Tb 0.0000 0.0000 0.0000 [2 per cell]
2 Tb 0.0000 0.3337 0.0000 [4 per cell]
3 Nd 0.0000 0.5000 0.5000 [2 per cell]
4 Ho 0.2453 0.0000 0.7486 [4 per cell]
5 Ho 0.2475 0.1690 0.2515 [8 per cell]
6 Th 0.0000 0.1667 0.5000 [4 per cell]

Results
**Total moment**: 0.00 μB per cell
**DFT formation energy**: 0.029 eV/atom

Computed, not measured: an optimized crystal structure of Tb6Nd3HoTh2 at the PBE-GGA level of DFT.

Lattice parameters (Å, degrees): 6.2262 10.7755 11.8635 90.00 100.08 90.00
Space group C2/m (No. 12)
Asymmetric unit:
1 Tb 0.2444 0.0000 0.2449 [4 per cell]
2 Tb 0.2500 0.1685 0.7555 [8 per cell]
3 Nd 0.0000 0.0000 0.5000 [2 per cell]
4 Nd 0.0000 0.3334 0.5000 [4 per cell]
5 Ho 0.0000 0.5000 0.0000 [2 per cell]
6 Th 0.0000 0.1665 0.0000 [4 per cell]

Results
**Total moment**: 0.00 μB per cell
**DFT formation energy**: 0.020 eV/atom

Computed, not measured: an optimized crystal structure of TbNd4Ho2Th at the PBE-GGA level of DFT.

Lattice parameters (Å, degrees): 5.1060 5.1060 10.2496 90.00 90.00 90.00
Space group P4/mmm (No. 123)
Asymmetric unit:
1 Tb 0.0000 0.0000 0.0000 [1 per cell]
2 Nd 0.0000 0.5000 0.2517 [4 per cell]
3 Ho 0.0000 0.0000 0.5000 [1 per cell]
4 Ho 0.5000 0.5000 0.0000 [1 per cell]
5 Th 0.5000 0.5000 0.5000 [1 per cell]

Results
**Total moment**: 0.00 μB per cell
**DFT formation energy**: 0.037 eV/atom

Computed, not measured: an optimized crystal structure of Tb2Nd4HoTh at the PBE-GGA level of DFT.

Lattice parameters (Å, degrees): 6.0524 6.0560 7.3184 90.00 90.07 90.00
Space group P2/m (No. 10)
Asymmetric unit:
1 Tb 0.0000 0.0000 0.0000 [1 per cell]
2 Tb 0.5000 0.5000 0.5000 [1 per cell]
3 Nd 0.0001 0.5000 0.2471 [2 per cell]
4 Nd 0.4996 0.0000 0.2469 [2 per cell]
5 Ho 0.0000 0.0000 0.5000 [1 per cell]
6 Th 0.5000 0.5000 0.0000 [1 per cell]

Results
**Total moment**: 0.00 μB per cell
**DFT formation energy**: 0.138 eV/atom

Computed, not measured: an optimized crystal structure of Tb3Nd2Ho6Th at the PBE-GGA level of DFT.

Lattice parameters (Å, degrees): 6.1903 10.7109 11.7618 90.00 100.08 90.00
Space group C2/m (No. 12)
Asymmetric unit:
1 Tb 0.0000 0.0000 0.0000 [2 per cell]
2 Tb 0.0000 0.3329 0.0000 [4 per cell]
3 Nd 0.0000 0.1666 0.5000 [4 per cell]
4 Ho 0.2449 0.5000 0.2491 [4 per cell]
5 Ho 0.2491 0.3353 0.7508 [8 per cell]
6 Th 0.0000 0.5000 0.5000 [2 per cell]

Results
**Total moment**: 0.00 μB per cell
**DFT formation energy**: 0.028 eV/atom